An optimized crystal structure of Ba2Cd2Pb. Source: Alexandria, functional GGA-PBE.

Cell lengths 8.2762, 8.2762, 5.3423 Å; angles 90.00, 90.00, 90.00 degrees
Closest atoms and distances in Å follow each position.
Space group P4/mbm (No. 127)
Asymmetric unit:
Ba1 0.1864 0.3136 0.0000 (multiplicity 4)  6 Cd 3.49-3.73
Cd1 0.1213 0.6213 0.5000 (multiplicity 4)  1 Cd 2.84
Pb1 0.0000 0.0000 0.5000 (multiplicity 2)  4 Cd 3.29

## Properties
Distance to the lowest polymorph of the same formula = 67 meV/atom
Energy of formation from the pure elements = -0.334 eV per atom
Electronic total energy = -2.211 eV/atom
Total magnetic moment = 0.000 μB per formula unit